An optimized crystal structure of NdErMgTl, computed with GGA-PBE.

* theoretical density: 8.0 Mg/m³
* density of states at the Fermi level: 13.70 states/eV per cell
* E_tot: -14.234 eV/f.u.

Lattice parameters (Å, degrees): 7.6396 7.6396 7.6396 90.00 90.00 90.00
Space group F-43m (No. 216)
Inequivalent atoms, fractional coordinates:
Nd 0.0000 0.0000 0.0000 (multiplicity 4)
Er 0.0000 0.0000 0.5000 (multiplicity 4)
Mg 0.2500 0.2500 0.2500 (multiplicity 4)
Tl 0.2500 0.2500 0.7500 (multiplicity 4)

An optimized crystal structure of Ac6Nd, computed with GGA-PBE.

* offset from the most stable computed form: 0.0 meV/atom
* theoretical density: 7.8 Mg/m³
* density of states at the Fermi level: 20.21 states/eV per cell

Lattice parameters (Å, degrees): 7.1960 7.1960 12.4477 90.00 90.00 90.00
Space group P4/nbm (No. 125, origin choice 2)
Inequivalent atoms, fractional coordinates:
Ac 0.0784 0.5784 0.1374 (multiplicity 8)
Ac 0.2500 0.2500 0.3608 (multiplicity 4)
Nd 0.2500 0.7500 0.5000 (multiplicity 2)

An optimized crystal structure of Rb3Ag2Te3, computed with GGA-PBE.

* theoretical density: 4.5 Mg/m³
* density of states at the Fermi level: 14.07 states/eV per cell
* energy relative to the elements, uncorrected: -0.625 eV per atom

Lattice parameters (Å, degrees): 4.6761 13.5425 19.9756 90.00 90.00 90.00
Space group Cmcm (No. 63)
Inequivalent atoms, fractional coordinates:
Rb 0.0000 0.0515 0.2500 (multiplicity 4)
Rb 0.0000 0.3767 0.0774 (multiplicity 8)
Ag 0.0000 0.3338 0.6335 (multiplicity 8)
Te 0.0000 0.1029 0.0731 (multiplicity 8)
Te 0.0000 0.2245 0.7500 (multiplicity 4)

An optimized crystal structure of AlGeOsC2, computed with GGA-PBE.

* theoretical density: 7.1 Mg/m³
* density of states at the Fermi level: 3.93 states/eV per cell
* E_tot: -27.223 eV/f.u.

Lattice parameters (Å, degrees): 3.8232 3.8232 5.0092 90.00 90.00 90.00
Space group P4/mmm (No. 123)
Inequivalent atoms, fractional coordinates:
Al 0.0000 0.0000 0.0000 (multiplicity 1)
Ge 0.5000 0.5000 0.5000 (multiplicity 1)
Os 0.5000 0.5000 0.0000 (multiplicity 1)
C 0.0000 0.5000 0.5000 (multiplicity 2)

An optimized crystal structure of ErCd4Au2, computed with GGA-PBE.

* offset from the most stable computed form: 6.8 meV/atom
* theoretical density: 10.6 Mg/m³
* density of states at the Fermi level: 6.67 states/eV per cell

Lattice parameters (Å, degrees): 8.5407 8.5407 4.3559 90.00 90.00 90.00
Space group P4_2/mnm (No. 136)
Inequivalent atoms, fractional coordinates:
Er 0.0000 0.0000 0.0000 (multiplicity 2)
Cd 0.1085 0.3526 0.5000 (multiplicity 8)
Au 0.1636 0.8364 0.5000 (multiplicity 4)

An optimized crystal structure of PmHoZn, computed with GGA-PBE.

* offset from the most stable computed form: 158.3 meV/atom
* theoretical density: 7.7 Mg/m³
* density of states at the Fermi level: 3.89 states/eV per cell

Lattice parameters (Å, degrees): 5.0007 5.0007 3.7465 90.00 90.00 120.00
Space group P3m1 (No. 156)
Inequivalent atoms, fractional coordinates:
Pm 0.0000 0.0000 0.0000 (multiplicity 1)
Ho 0.3333 0.6667 0.4596 (multiplicity 1)
Zn 0.6667 0.3333 0.6576 (multiplicity 1)

An optimized crystal structure of ZnIn3, computed with GGA-PBE.

* theoretical density: 6.9 Mg/m³
* density of states at the Fermi level: 1.48 states/eV per cell
* E_tot: -9.168 eV/f.u.

Lattice parameters (Å, degrees): 3.3480 4.4838 6.5303 90.00 90.00 90.00
Space group Pmmm (No. 47)
Inequivalent atoms, fractional coordinates:
Zn 0.0000 0.0000 0.0000 (multiplicity 1)
In 0.0000 0.0000 0.5000 (multiplicity 1)
In 0.5000 0.5000 0.2360 (multiplicity 2)

An optimized crystal structure of SmY4Cd2, computed with GGA-PBE.

* theoretical density: 5.2 Mg/m³
* density of states at the Fermi level: 31.53 states/eV per cell
* E_tot: -31.093 eV/f.u.

Lattice parameters (Å, degrees): 5.1202 5.1202 30.8469 90.00 90.00 120.00
Space group R-3m (No. 166, hexagonal axes)
Inequivalent atoms, fractional coordinates:
Sm 0.0000 0.0000 0.0000 (multiplicity 3)
Y 0.0000 0.0000 0.2030 (multiplicity 6)
Y 0.0000 0.0000 0.3936 (multiplicity 6)
Cd 0.0000 0.0000 0.1007 (multiplicity 6)

An optimized crystal structure of Sm4DyIn, computed with GGA-PBE.

* offset from the most stable computed form: 51.7 meV/atom
* theoretical density: 7.5 Mg/m³
* density of states at the Fermi level: 28.28 states/eV per cell

Lattice parameters (Å, degrees): 5.6709 21.2094 6.4620 90.00 90.00 90.00
Space group Cmc2_1 (No. 36)
Inequivalent atoms, fractional coordinates:
Sm 0.0000 0.0428 0.0000 (multiplicity 4)
Sm 0.0000 0.1871 0.1591 (multiplicity 4)
Sm 0.0000 0.2489 0.6896 (multiplicity 4)
Sm 0.0000 0.4378 0.8187 (multiplicity 4)
Dy 0.0000 0.3637 0.3051 (multiplicity 4)
In 0.0000 0.1040 0.5560 (multiplicity 4)

An optimized crystal structure of Ca2LaOs2, computed with GGA-PBE.

* offset from the most stable computed form: 146.0 meV/atom
* theoretical density: 7.7 Mg/m³
* density of states at the Fermi level: 10.25 states/eV per cell

Lattice parameters (Å, degrees): 4.4786 4.4786 12.9070 90.00 90.00 90.00
Space group I4/mmm (No. 139)
Inequivalent atoms, fractional coordinates:
Ca 0.0000 0.5000 0.2500 (multiplicity 4)
La 0.0000 0.0000 0.0000 (multiplicity 2)
Os 0.0000 0.0000 0.4087 (multiplicity 4)

An optimized crystal structure of TeMoCN2, computed with GGA-PBE.

* offset from the most stable computed form: 919.6 meV/atom
* theoretical density: 7.0 Mg/m³
* density of states at the Fermi level: 2.55 states/eV per cell
* energy relative to the elements, uncorrected: 2.428 eV per atom

Lattice parameters (Å, degrees): 3.8664 3.8664 4.2104 90.00 90.00 90.00
Space group P4/mmm (No. 123)
Inequivalent atoms, fractional coordinates:
Te 0.0000 0.0000 0.0000 (multiplicity 1)
Mo 0.5000 0.5000 0.0000 (multiplicity 1)
C 0.0000 0.0000 0.5000 (multiplicity 1)
N 0.0000 0.5000 0.5000 (multiplicity 2)

An optimized crystal structure of KSb2TeCl, computed with GGA-PBE.

* offset from the most stable computed form: 0.0 meV/atom
* theoretical density: 4.3 Mg/m³
* density of states at the Fermi level: 5.92 states/eV per cell
* energy relative to the elements, uncorrected: 0.251 eV per atom

Lattice parameters (Å, degrees): 5.4397 5.4397 5.8396 90.00 90.00 90.00
Space group P4/mmm (No. 123)
Inequivalent atoms, fractional coordinates:
K 0.0000 0.0000 0.0000 (multiplicity 1)
Sb 0.0000 0.5000 0.5000 (multiplicity 2)
Te 0.5000 0.5000 0.0000 (multiplicity 1)
Cl 0.5000 0.5000 0.5000 (multiplicity 1)